# PBE+U HfTcNiF2, relaxed
# DOS(E_F): 3.02 states/eV/cell
# E_tot: -6.141 eV per atom
# Total moment: 2.572 μB/cell
data_HfTcNiF2
_symmetry_space_group_name_H-M 'P 4/m m m'
_symmetry_Int_Tables_number 123
_symmetry_space_group_name_Hall '-P 4 2'
_cell_length_a 3.991
_cell_length_b 3.991
_cell_length_c 5.416
_cell_angle_alpha 90.00
_cell_angle_beta 90.00
_cell_angle_gamma 90.00
loop_
_atom_site_label
_atom_site_type_symbol
_atom_site_fract_x
_atom_site_fract_y
_atom_site_fract_z
Hf1 Hf 0.000 0.000 0.000
Tc1 Tc 0.000 0.000 0.500
Ni1 Ni 0.500 0.500 0.500
F1 F 0.000 0.500 0.000